Pa2GeP3Rh4 GGA-PBE relaxed; DOS(E_F) = 7.5 states/eV per cell; VASP energy = -7.844 eV/atom
1.0
4.157 0.000 0.000
0.000 4.157 0.000
0.000 0.000 9.603
Pa Ge P Rh
2 1 3 4
Cartesian
2.078 0.000 2.397
0.000 2.078 7.206
2.078 2.078 4.802
0.000 0.000 4.802
2.078 0.000 8.306
0.000 2.078 1.297
2.078 2.078 0.000
0.000 0.000 0.000
2.078 0.000 6.005
0.000 2.078 3.598